First-principles (PBEsol) data for a geometry-optimized ScAlCo structure, as listed in Alexandria.

Cell: 2.9283 2.9283 10.4332 Å, 90.00 90.00 90.00°
Space group I4mm (No. 107)
Unique sites:
1 Sc 0.0000 0.0000 0.0000 [2 per cell]
2 Al 0.0000 0.0000 0.2855 [2 per cell]
3 Co 0.0000 0.0000 0.6600 [2 per cell]

Summary:
E_form = -0.44 eV per atom
Raw total energy = -39.5 eV per cell
Total magnetization = 0.009 μB/f.u.

=====

First-principles (PBEsol) data for a geometry-optimized P2Pb4O9 structure, as listed in Alexandria.

Cell: 9.4381 7.1511 14.4986 Å, 90.00 104.09 90.00°
Space group P2_1/c (No. 14)
Unique sites:
1 P 0.0326 0.2075 0.4053 [4 per cell]
2 P 0.3706 0.7338 0.8150 [4 per cell]
3 Pb 0.0365 0.6984 0.3510 [4 per cell]
4 Pb 0.2845 0.0142 0.6132 [4 per cell]
5 Pb 0.3142 0.0015 0.0843 [4 per cell]
6 Pb 0.3267 0.2309 0.3330 [4 per cell]
7 O 0.0278 0.5047 0.1097 [4 per cell]
8 O 0.0637 0.2162 0.8105 [4 per cell]
9 O 0.0796 0.6708 0.5619 [4 per cell]
10 O 0.1846 0.2146 0.4770 [4 per cell]
11 O 0.2302 0.2091 0.1742 [4 per cell]
12 O 0.2552 0.5992 0.8392 [4 per cell]
13 O 0.2931 0.5762 0.2839 [4 per cell]
14 O 0.4306 0.6478 0.7329 [4 per cell]
15 O 0.4983 0.2430 0.0974 [4 per cell]

Summary:
Formation energy without anion corrections = -1.793 eV/atom
Raw total energy = -406.9 eV per cell
Total magnetization = 0.000 μB/f.u.

=====

First-principles (PBEsol) data for a geometry-optimized NiRh2 structure, as listed in Alexandria.

Cell: 2.6463 2.6463 10.7212 Å, 90.00 90.00 90.00°
Space group P4/mmm (No. 123)
Unique sites:
1 Ni 0.0000 0.0000 0.1608 [2 per cell]
2 Rh 0.0000 0.0000 0.5000 [1 per cell]
3 Rh 0.5000 0.5000 0.0000 [1 per cell]
4 Rh 0.5000 0.5000 0.3234 [2 per cell]

Summary:
Energy relative to the lowest polymorph listed for this composition = 0.0107 eV per atom
E_form = 0.04 eV per atom
Raw total energy = -44.6 eV per cell
Total magnetization = 0.001 μB/f.u.

=====

First-principles (PBEsol) data for a geometry-optimized Tl2Cd2Bi structure, as listed in Alexandria.

Cell: 7.6856 7.6856 4.6622 Å, 90.00 90.00 90.00°
Space group P4/mbm (No. 127)
Unique sites:
1 Tl 0.1747 0.3253 0.0000 [4 per cell]
2 Cd 0.1289 0.6289 0.5000 [4 per cell]
3 Bi 0.0000 0.0000 0.5000 [2 per cell]

Summary:
E_form = 0.05 eV per atom
Raw total energy = -23.4 eV per cell
Total magnetization = 0.000 μB/f.u.

=====

First-principles (PBEsol) data for a geometry-optimized LaZr2Cr2 structure, as listed in Alexandria.

Cell: 4.3156 4.3156 11.1397 Å, 90.00 90.00 90.00°
Space group I4/mmm (No. 139)
Unique sites:
1 La 0.0000 0.0000 0.0000 [2 per cell]
2 Zr 0.0000 0.5000 0.2500 [4 per cell]
3 Cr 0.0000 0.0000 0.4110 [4 per cell]

Summary:
E_form = 0.48 eV per atom
Raw total energy = -83.3 eV per cell
Total magnetization = 0.001 μB/f.u.

=====

First-principles (PBEsol) data for a geometry-optimized CsTl2Hg2 structure, as listed in Alexandria.

Cell: 5.5583 5.5583 10.9366 Å, 90.00 90.00 90.00°
Space group I4/mmm (No. 139)
Unique sites:
1 Cs 0.0000 0.0000 0.0000 [2 per cell]
2 Tl 0.0000 0.0000 0.3609 [4 per cell]
3 Hg 0.0000 0.5000 0.2500 [4 per cell]

Summary:
Energy relative to the lowest polymorph listed for this composition = 0.0000 eV per atom
E_form = -0.13 eV per atom
Raw total energy = -15.9 eV per cell
Total magnetization = 0.000 μB/f.u.

=====

Question: The highest raw total energy belongs to which entry?
Answer: CsTl2Hg2

=====

Question: The lowest raw total energy belongs to which entry?
Answer: P2Pb4O9

=====

Question: The highest total magnetization belongs to which entry?
Answer: ScAlCo